VASP calculation (PBE) on a relaxed K2AcGa2O6 crystal.

Unit cell a=5.6625 b=5.6625 c=6.4803 alpha=90.00 beta=90.00 gamma=120.00
Fractional coordinates of all 11 atoms:
K (0.6667, 0.3333, 0.5000)
K (0.3333, 0.6667, 0.5000)
Ac (0.0000, 0.0000, 0.0000)
Ga (0.3333, 0.6667, 0.0000)
Ga (0.6667, 0.3333, 0.0000)
O (0.0000, 0.3893, 0.8270)
O (0.6107, 0.6107, 0.8270)
O (0.3893, 0.0000, 0.8270)
O (0.0000, 0.6107, 0.1730)
O (0.3893, 0.3893, 0.1730)
O (0.6107, 0.0000, 0.1730)

Properties
The crystal system is trigonal. The space-group type is No. 162. As for the spin magnetization: 1.03 μB per formula unit. The calculation puts the total DFT energy (no corrections) at -5.686 eV/atom. The value obtained for the mass density is 4.99 g/cm³.